VASP calculation (GGA-PBE) on NaTl3F after structural relaxation.

theoretical density	7.198	Mg/m³
formation energy (no corrections)	-0.621	eV per atom
D(E_F)	1.745	states/eV/cell
uncorrected energy	-2.679	eV/atom
energy above the most stable polymorph in this dataset	0	meV per atom

```
5
Lattice="5.327 0.000 0.000 0.000 5.327 0.000 0.000 0.000 5.327" Properties=species:S:1:pos:R:3 pbc="T T T"
Tl 2.663 0.000 0.000
Tl 0.000 0.000 2.663
Na 2.663 2.663 2.663
Tl 0.000 2.663 0.000
F 0.000 0.000 0.000
```



VASP calculation (GGA-PBE) on Na2Tl2F after structural relaxation.

theoretical density	5.996	Mg/m³
formation energy (no corrections)	-0.923	eV per atom
D(E_F)	2.476	states/eV/cell
uncorrected energy	-2.771	eV/atom

```
10
Lattice="-5.428 -3.091 -1.165 2.703 -2.868 -4.984 1.942 -4.862 3.851" Properties=species:S:1:pos:R:3 pbc="T T T"
Na 0.560 -3.163 -4.277
Na -0.354 -1.481 -1.691
F -1.363 -2.979 -3.075
F 0.000 0.000 0.000
Na -2.371 -4.478 -4.458
Tl -0.314 -3.937 0.672
Tl -2.627 -5.909 -0.651
Na -3.286 -2.795 -1.872
Tl -0.469 -6.884 -2.970
Tl 1.844 -4.912 -1.647
```



VASP calculation (GGA-PBE) on Na4Tl2F9 after structural relaxation.

theoretical density	4.915	Mg/m³
formation energy (no corrections)	-2.310	eV per atom
D(E_F)	0.339	states/eV/cell
uncorrected energy	-4.100	eV/atom

```
30
Lattice="5.991 0.001 0.013 2.995 5.188 0.032 -0.031 -0.073 14.603" Properties=species:S:1:pos:R:3 pbc="T T T"
Na 2.965 1.658 14.355
Tl -0.019 -0.044 8.839
F 1.940 3.123 8.657
F 8.139 3.749 3.715
Na 2.974 1.680 10.139
F 5.122 1.734 13.379
F 4.317 -0.038 10.934
F 4.738 1.867 8.657
Na 5.974 3.422 7.564
Tl 8.973 5.161 5.810
F 7.014 1.994 5.991
F 5.170 1.420 3.697
F 4.946 4.950 13.394
Na 2.988 1.714 3.091
Tl -0.026 -0.062 12.425
Na 5.981 3.437 4.510
F 4.216 3.250 5.991
F 7.819 3.495 13.394
F 3.784 3.697 10.952
F 4.009 0.167 1.254
F 6.703 5.045 6.006
Tl 8.981 5.178 2.223
Na 2.980 1.694 7.084
Na 5.990 3.458 0.293
F 1.136 1.621 1.255
F 0.816 1.368 10.934
F 3.832 3.383 1.269
Na 5.966 3.402 11.558
F 2.252 0.071 8.643
F 4.638 5.154 3.714
```



VASP calculation (GGA-PBE) on Na12Tl3F5 after structural relaxation.

theoretical density	3.338	Mg/m³
formation energy (no corrections)	-1.220	eV per atom
D(E_F)	31.960	states/eV/cell
uncorrected energy	-2.835	eV/atom

```
80
Lattice="-6.368 -0.679 12.054 7.581 -11.211 -1.778 8.044 11.025 -0.282" Properties=species:S:1:pos:R:3 pbc="T T T"
Na 1.802 3.858 7.763
Na 0.617 1.385 10.105
Na 2.849 -6.932 4.715
Na 6.861 -0.831 9.333
Na 10.111 0.840 -1.206
Na 4.578 5.999 8.932
Na 8.640 -2.250 -0.111
Na -0.853 -1.705 11.200
Tl 2.372 2.563 2.686
F 4.665 -7.478 5.907
Na 7.456 -4.723 2.231
Na -0.295 -5.343 10.872
Na 2.982 5.153 4.627
Na 7.716 4.132 2.756
Na 12.823 0.718 1.848
F 7.907 -4.359 0.067
Tl 11.871 -1.626 -0.261
F 4.058 -1.533 0.769
Na 4.501 -4.166 9.268
Na 8.039 2.940 5.965
F 0.513 -1.679 4.041
Na 11.528 -2.504 2.769
F 3.791 -5.605 -0.889
Na 9.457 -5.798 -0.668
Na 5.055 -1.461 2.774
Na -2.271 1.639 7.225
Na 2.397 -0.034 0.660
F 4.593 6.612 4.087
Tl 6.885 -3.428 7.308
Na -0.926 -1.335 5.722
Na 6.408 6.067 5.279
F -3.184 -0.339 6.027
Tl 0.932 0.907 6.984
Na 0.015 3.130 4.733
F 4.022 5.512 -0.141
F 4.629 -0.433 4.997
Na 7.023 -0.586 5.649
Na 7.134 -9.153 -0.457
Na 4.202 0.596 7.220
Na 1.542 -4.997 7.238
Na -3.566 -1.583 8.146
Na 1.218 -3.805 4.029
Na 5.165 1.764 3.962
F 0.838 5.173 5.886
F 0.607 -5.945 5.138
F 1.351 3.494 9.927
Na 4.680 -6.864 1.062
Na 2.124 8.288 10.451
Na 1.781 -1.735 8.757
F 3.210 7.736 8.572
Tl 4.896 3.640 6.656
Na 1.688 -10.592 8.209
F 5.199 0.668 9.225
Na 6.276 -6.018 5.367
F 7.813 -0.093 -1.030
Tl 4.361 -4.505 3.338
F 2.979 -3.382 7.824
F 6.047 -8.601 1.422
Na 9.552 4.478 -0.878
Tl -2.613 0.761 10.255
Na 3.266 -3.610 0.498
Tl 8.325 -1.772 3.010
Na 4.092 -2.629 6.032
F 0.000 0.000 0.000
Na -0.200 4.933 10.662
Na 5.992 2.745 9.496
Na 4.223 -7.388 8.102
Na 10.183 0.469 4.272
Tl 1.119 -7.624 9.179
Na 7.476 0.870 1.237
Na 2.234 -0.279 4.344
Na 7.569 9.726 1.785
Na 5.034 6.523 1.892
Tl -0.928 -3.335 8.339
F 8.744 0.814 5.953
Na 9.242 -3.995 5.261
Na 4.757 3.301 0.726
Tl 10.185 2.470 1.655
Tl 8.138 6.759 0.815
F 6.278 2.517 2.170
```



VASP calculation (GGA-PBE) on NaTl3F4 after structural relaxation.

theoretical density	6.054	Mg/m³
formation energy (no corrections)	-1.949	eV per atom
D(E_F)	0.000	states/eV/cell
uncorrected energy	-3.937	eV/atom
energy above the most stable polymorph in this dataset	0	meV per atom

```
16
Lattice="-1.327 -0.354 -5.798 -6.839 -4.046 1.813 -3.992 6.966 0.488" Properties=species:S:1:pos:R:3 pbc="T T T"
Tl -7.929 -1.084 -3.978
F -0.449 0.693 -0.147
F -3.630 5.357 -1.735
Tl -1.085 0.673 -2.593
F -9.217 1.506 -3.280
F -6.666 -1.046 -0.646
F -7.716 4.049 -1.751
F -5.556 3.672 -4.250
F -5.416 -0.851 -4.009
F -3.488 0.834 -1.488
Tl -8.197 1.479 -1.011
Tl -8.203 3.768 -4.215
Na -4.598 5.393 -5.307
Tl -4.184 1.132 -4.970
Tl -5.103 3.310 -1.831
Na -4.764 -0.972 -1.818
```



VASP calculation (GGA-PBE) on NaTlF after structural relaxation.

theoretical density	5.833	Mg/m³
formation energy (no corrections)	-1.647	eV per atom
D(E_F)	1.938	states/eV/cell
uncorrected energy	-3.499	eV/atom
energy above the most stable polymorph in this dataset	0	meV per atom

```
6
Lattice="3.616 0.000 0.000 -1.808 3.314 -0.045 0.000 -2.286 11.734" Properties=species:S:1:pos:R:3 pbc="T T T"
Na 1.808 2.255 1.154
F 0.000 1.090 1.186
Na 0.000 -1.226 10.534
Tl 1.808 -0.115 7.258
Tl 0.000 1.143 4.431
F 1.808 -0.061 10.503
```



VASP calculation (GGA-PBE) on Na3TlF6 after structural relaxation.

theoretical density	4.361	Mg/m³
formation energy (no corrections)	-2.416	eV per atom
D(E_F)	0.000	states/eV/cell
uncorrected energy	-4.171	eV/atom

```
20
Lattice="5.820 0.000 0.051 0.000 5.987 0.000 0.147 0.000 8.466" Properties=species:S:1:pos:R:3 pbc="T T T"
Na 3.097 5.671 6.549
F 2.223 3.513 6.267
F 4.112 1.068 8.076
F 5.059 5.468 2.059
Tl 0.000 0.000 0.000
F 1.855 4.920 0.441
Na 2.910 2.994 0.025
F 4.910 4.216 7.725
F 1.926 4.766 3.467
Na 5.854 2.677 6.226
F 1.129 1.926 3.818
Na 2.870 0.316 1.968
F 4.041 1.222 5.050
F 0.908 0.519 6.458
Tl 2.984 2.994 4.258
Na 0.113 3.310 2.290
F 3.744 2.475 2.250
F 1.057 1.772 0.792
F 4.838 4.062 4.699
Na 0.074 0.000 4.233
```



VASP calculation (GGA-PBE) on NaTlF after structural relaxation.

theoretical density	5.260	Mg/m³
formation energy (no corrections)	-1.512	eV per atom
D(E_F)	1.440	states/eV/cell
uncorrected energy	-3.365	eV/atom
energy above the most stable polymorph in this dataset	134	meV per atom

```
3
Lattice="-2.354 1.652 2.259 -1.152 -2.691 -2.193 1.423 -4.500 4.775" Properties=species:S:1:pos:R:3 pbc="T T T"
F -0.824 -3.547 1.736
Na -1.247 -2.029 3.146
Tl 1.411 -4.462 4.735
```



> Number 6 is which compound?

NaTlF